Entry i
Sc2Be2W (PBE, optimized geometry); crystal system = tetragonal; total magnetization = 0.00 μB/atom; D(E_F) = 9.14 states/eV per cell
1.0
-1.432 -3.752 5.853
6.732 -2.242 0.210
0.757 2.436 1.747
Sc Be W
4 4 2
Direct
0.685 0.815 0.500 Sc
0.185 0.685 0.500 Sc
0.815 0.315 0.500 Sc
0.315 0.185 0.500 Sc
0.390 0.890 0.000 Be
0.110 0.390 0.000 Be
0.610 0.110 0.000 Be
0.890 0.610 0.000 Be
0.500 0.500 0.000 W
0.000 0.000 0.000 W


Entry ii
Sc2Be2W (PBE, optimized geometry); crystal system = tetragonal; total magnetization = 0.00 μB/atom; D(E_F) = 3.48 states/eV per cell
1.0
3.661 0.000 0.000
0.000 3.661 0.000
1.830 1.830 5.528
Be Sc W
2 2 1
Direct
0.585 0.585 0.830 Be
0.415 0.415 0.170 Be
0.250 0.750 0.500 Sc
0.750 0.250 0.500 Sc
0.000 0.000 0.000 W


Which of them is most stable? Easy: entry i.


Entry i
ScBeW3 (PBE, optimized geometry); crystal system = cubic; total magnetization = 0.00 μB/atom; D(E_F) = 4.85 states/eV per cell
1.0
-3.337 -3.066 0.766
-0.497 -0.591 -4.530
3.121 -3.372 0.098
W Be Sc
3 1 1
Direct
0.000 0.000 0.500 W
0.500 0.000 0.000 W
0.000 0.500 0.000 W
0.500 0.500 0.500 Be
0.000 0.000 0.000 Sc


Entry ii
ScBeW3 (PBE, optimized geometry); crystal system = cubic; total magnetization = 0.00 μB/atom; D(E_F) = 6.26 states/eV per cell
1.0
-0.531 -4.178 -1.059
2.749 0.494 -3.326
3.320 -1.077 2.584
W Sc Be
3 1 1
Direct
0.500 0.000 0.000 W
0.000 0.000 0.500 W
0.000 0.500 0.000 W
0.500 0.500 0.500 Sc
0.000 0.000 0.000 Be


Which of them is most stable? Easy: entry ii.


Entry i
YSc3Be (PBE, optimized geometry); crystal system = cubic; total magnetization = 0.00 μB/atom; D(E_F) = 6.43 states/eV per cell
1.0
-1.194 4.355 2.070
0.600 -1.981 4.516
4.784 1.336 -0.050
Sc Be Y
3 1 1
Direct
0.000 0.000 0.500 Sc
0.500 0.000 0.000 Sc
0.000 0.500 0.000 Sc
0.000 0.000 0.000 Be
0.500 0.500 0.500 Y


Entry ii
YSc3Be (PBE, optimized geometry); crystal system = cubic; total magnetization = 0.00 μB/atom; D(E_F) = 5.21 states/eV per cell
1.0
5.178 0.000 0.000
0.000 5.178 0.000
0.000 0.000 5.178
Be Sc Y
1 3 1
Direct
0.500 0.500 0.500 Be
0.500 0.000 0.000 Sc
0.000 0.000 0.500 Sc
0.000 0.500 0.000 Sc
0.000 0.000 0.000 Y


Which of them is most stable? Easy: entry i.


Entry i
YScBe3 (PBE, optimized geometry); crystal system = cubic; total magnetization = 0.00 μB/atom; D(E_F) = 4.73 states/eV per cell
1.0
-2.494 -0.090 -3.876
2.698 -3.350 -1.659
-2.784 -3.166 1.865
Sc Be Y
1 3 1
Direct
0.000 0.000 0.000 Sc
0.500 0.000 0.000 Be
0.000 0.500 0.000 Be
0.000 0.000 0.500 Be
0.500 0.500 0.500 Y


Entry ii
YScBe3 (PBE, optimized geometry); crystal system = cubic; total magnetization = 0.16 μB/atom; D(E_F) = 5.53 states/eV per cell
1.0
-0.504 0.552 -4.657
-3.301 -3.368 -0.042
-3.331 3.255 0.746
Be Y Sc
3 1 1
Direct
0.000 0.000 0.500 Be
0.500 0.000 0.000 Be
0.000 0.500 0.000 Be
0.000 0.000 0.000 Y
0.500 0.500 0.500 Sc


Which of them is most stable? Easy: entry i.


Entry i
ScBe3Zn (PBE, optimized geometry); crystal system = cubic; total magnetization = 0.00 μB/atom; D(E_F) = 1.48 states/eV per cell
1.0
-1.890 -3.649 -0.006
2.484 -1.281 -3.012
2.673 -1.389 2.794
Be Sc Zn
3 1 1
Direct
0.000 0.000 0.500 Be
0.500 0.000 0.000 Be
0.000 0.500 0.000 Be
0.500 0.500 0.500 Sc
0.000 0.000 0.000 Zn


Entry ii
ScBe3Zn (PBE, optimized geometry); crystal system = cubic; total magnetization = 0.29 μB/atom; D(E_F) = 4.53 states/eV per cell
1.0
-0.221 -3.073 -3.648
1.821 -3.429 2.779
-4.408 -1.262 1.331
Be Sc Zn
3 1 1
Direct
0.000 0.000 0.500 Be
0.000 0.500 0.000 Be
0.500 0.000 0.000 Be
0.000 0.000 0.000 Sc
0.500 0.500 0.500 Zn


Which of them is most stable? Easy: entry i.


Entry i
ScBeZn3 (PBE, optimized geometry); crystal system = cubic; total magnetization = 0.13 μB/atom; D(E_F) = 7.22 states/eV per cell
1.0
5.206 0.000 0.000
0.000 5.206 0.000
0.000 0.000 5.206
Be Zn Sc
1 3 1
Direct
0.500 0.500 0.500 Be
0.000 0.000 0.500 Zn
0.000 0.500 0.000 Zn
0.500 0.000 0.000 Zn
0.000 0.000 0.000 Sc


Entry ii
ScBeZn3 (PBE, optimized geometry); crystal system = cubic; total magnetization = 0.00 μB/atom; D(E_F) = 1.39 states/eV per cell
1.0
-0.003 -3.111 -2.947
0.875 -2.885 3.045
-4.195 -0.599 0.638
Zn Be Sc
3 1 1
Direct
0.000 0.500 0.000 Zn
0.500 0.000 0.000 Zn
0.000 0.000 0.500 Zn
0.000 0.000 0.000 Be
0.500 0.500 0.500 Sc


Which of them is most stable? Easy: entry ii.


Entry i
Zr3ScBe (PBE, optimized geometry); crystal system = cubic; total magnetization = 0.00 μB/atom; D(E_F) = 9.52 states/eV per cell
1.0
4.825 0.000 0.000
0.000 4.825 0.000
0.000 0.000 4.825
Zr Be Sc
3 1 1
Direct
0.000 0.000 0.500 Zr
0.500 0.000 0.000 Zr
0.000 0.500 0.000 Zr
0.000 0.000 0.000 Be
0.500 0.500 0.500 Sc


Entry ii
Zr3ScBe (PBE, optimized geometry); crystal system = cubic; total magnetization = 0.00 μB/atom; D(E_F) = 8.57 states/eV per cell
1.0
-1.439 4.745 -0.426
-4.443 -1.176 1.908
1.719 0.932 4.576
Zr Sc Be
3 1 1
Direct
0.000 0.500 0.000 Zr
0.000 0.000 0.500 Zr
0.500 0.000 0.000 Zr
0.000 0.000 0.000 Sc
0.500 0.500 0.500 Be


Which of them is most stable? Easy: entry i.


Entry i
ZrScBe (PBE, optimized geometry); crystal system = trigonal; total magnetization = 0.00 μB/atom; D(E_F) = 2.90 states/eV per cell
1.0
4.444 0.000 0.000
-2.222 3.848 0.000
0.000 0.000 3.284
Zr Be Sc
1 1 1
Direct
0.333 0.667 0.721 Zr
0.000 0.000 0.016 Be
0.667 0.333 0.263 Sc


Entry ii
ZrScBe (PBE, optimized geometry); crystal system = tetragonal; total magnetization = 0.00 μB/atom; D(E_F) = 3.43 states/eV per cell
1.0
-1.182 -0.032 6.013
-2.708 -2.515 4.888
2.167 -1.886 1.228
Zr Be Sc
1 1 1
Direct
0.646 0.646 0.354 Zr
0.001 0.001 0.999 Be
0.353 0.353 0.647 Sc


Entry iii
ZrScBe (PBE, optimized geometry); crystal system = orthorhombic; total magnetization = 0.00 μB/atom; D(E_F) = 17.10 states/eV per cell
1.0
-2.447 3.546 -0.745
-2.561 -2.809 -4.962
-6.331 -3.291 5.130
Sc Zr Be
4 4 4
Direct
0.750 0.480 0.619 Sc
0.750 0.020 0.119 Sc
0.250 0.520 0.381 Sc
0.250 0.980 0.881 Sc
0.250 0.482 0.871 Zr
0.750 0.982 0.629 Zr
0.750 0.518 0.129 Zr
0.250 0.018 0.371 Zr
0.250 0.264 0.126 Be
0.750 0.764 0.374 Be
0.750 0.736 0.874 Be
0.250 0.236 0.626 Be


Entry iv
ZrScBe (PBE, optimized geometry); crystal system = cubic; total magnetization = 0.00 μB/atom; D(E_F) = 5.42 states/eV per cell
1.0
-1.354 0.211 -4.178
-4.078 -1.260 -1.056
-2.988 2.997 -1.194
Sc Be Zr
1 1 1
Direct
0.000 0.000 0.000 Sc
0.750 0.750 0.750 Be
0.500 0.500 0.500 Zr


Which of them is most stable? Easy: entry ii.


Entry i
BeSe (PBE, optimized geometry); crystal system = cubic; total magnetization = 0.00 μB/atom; D(E_F) = 1.26 states/eV per cell
1.0
-2.391 0.631 1.874
-0.257 -3.015 0.687
1.961 0.375 2.376
Se Be
1 1
Direct
0.500 0.500 0.500 Se
0.000 0.000 0.000 Be


Entry ii
BeSe (PBE, optimized geometry); crystal system = tetragonal; total magnetization = 0.00 μB/atom; D(E_F) = 0.00 states/eV per cell
1.0
-3.387 1.150 0.666
-0.926 -0.737 -3.441
-1.751 -6.200 1.799
Se Be
2 2
Direct
0.000 0.500 0.702 Se
0.500 0.000 0.298 Se
0.000 0.000 0.500 Be
0.500 0.500 0.500 Be


Entry iii
BeSe (PBE, optimized geometry); crystal system = orthorhombic; total magnetization = 0.00 μB/atom; D(E_F) = 0.00 states/eV per cell
1.0
-3.369 -4.612 7.410
7.874 -5.668 0.053
3.458 4.847 4.589
Be Se
16 16
Direct
0.750 0.615 0.750 Be
0.000 0.365 0.500 Be
0.750 0.885 0.750 Be
0.250 0.385 0.750 Be
0.750 0.385 0.250 Be
0.250 0.115 0.750 Be
0.750 0.115 0.250 Be
0.500 0.865 0.500 Be
0.000 0.635 0.500 Be
0.000 0.135 0.000 Be
0.500 0.635 0.000 Be
0.000 0.865 0.000 Be
0.500 0.135 0.500 Be
0.250 0.885 0.250 Be
0.250 0.615 0.250 Be
0.500 0.365 0.000 Be
0.445 0.250 0.750 Se
0.055 0.750 0.250 Se
0.945 0.250 0.250 Se
0.945 0.750 0.750 Se
0.805 0.000 0.000 Se
0.195 0.000 0.000 Se
0.805 0.500 0.500 Se
0.195 0.500 0.500 Se
0.305 0.000 0.500 Se
0.445 0.750 0.250 Se
0.695 0.500 0.000 Se
0.555 0.250 0.250 Se
0.055 0.250 0.750 Se
0.555 0.750 0.750 Se
0.305 0.500 0.000 Se
0.695 0.000 0.500 Se


Which of them is most stable? Easy: entry ii.


Entry i
BeSe (PBE, optimized geometry); crystal system = orthorhombic; total magnetization = 0.00 μB/atom; D(E_F) = 0.00 states/eV per cell
1.0
6.528 0.000 0.000
0.000 6.718 0.000
0.000 0.000 7.378
Se Be
8 8
Direct
0.170 0.596 0.290 Se
0.308 0.108 0.446 Se
0.192 0.892 0.946 Se
0.830 0.096 0.210 Se
0.808 0.392 0.554 Se
0.692 0.608 0.054 Se
0.330 0.404 0.790 Se
0.670 0.904 0.710 Se
0.128 0.934 0.247 Be
0.157 0.391 0.531 Be
0.628 0.566 0.753 Be
0.872 0.434 0.253 Be
0.372 0.066 0.747 Be
0.843 0.891 0.969 Be
0.343 0.609 0.031 Be
0.657 0.109 0.469 Be


Entry ii
BeSe (PBE, optimized geometry); crystal system = triclinic; total magnetization = 0.00 μB/atom; D(E_F) = 0.00 states/eV per cell
1.0
-3.451 -0.646 -0.604
-0.610 -2.112 -2.804
-0.302 -6.215 3.613
Se Be
2 2
Direct
0.526 0.264 0.023 Se
0.088 0.843 0.607 Se
0.184 0.926 0.923 Be
0.716 0.468 0.706 Be


Which of them is most stable? Easy: entry i.


Entry i
BeSe (PBE, optimized geometry); crystal system = orthorhombic; total magnetization = 0.00 μB/atom; D(E_F) = 0.00 states/eV per cell
1.0
-1.606 -1.276 -10.046
2.690 -2.375 -0.128
-3.977 -4.570 1.216
Be Se
6 6
Direct
0.500 0.925 0.952 Be
0.288 0.673 0.144 Be
0.788 0.327 0.644 Be
0.712 0.673 0.144 Be
0.000 0.075 0.452 Be
0.212 0.327 0.644 Be
0.806 0.168 0.289 Se
0.194 0.168 0.289 Se
0.500 0.444 0.183 Se
0.000 0.556 0.683 Se
0.694 0.832 0.789 Se
0.306 0.832 0.789 Se


Entry ii
BeSe (PBE, optimized geometry); crystal system = orthorhombic; total magnetization = 0.00 μB/atom; D(E_F) = 0.00 states/eV per cell
1.0
-1.360 1.414 3.028
3.358 -3.443 3.115
6.652 6.461 -0.030
Se Be
4 4
Direct
0.750 0.280 0.161 Se
0.750 0.220 0.661 Se
0.250 0.720 0.839 Se
0.250 0.780 0.339 Se
0.250 0.452 0.230 Be
0.750 0.548 0.770 Be
0.250 0.048 0.730 Be
0.750 0.952 0.270 Be


Entry iii
BeSe (PBE, optimized geometry); crystal system = tetragonal; total magnetization = 0.00 μB/atom; D(E_F) = 0.00 states/eV per cell
1.0
6.298 0.000 0.000
0.000 6.298 0.000
0.000 0.000 3.678
Se Be
4 4
Direct
0.310 0.690 0.500 Se
0.690 0.310 0.500 Se
0.810 0.810 0.000 Se
0.190 0.190 0.000 Se
0.330 0.330 0.500 Be
0.830 0.170 0.000 Be
0.670 0.670 0.500 Be
0.170 0.830 0.000 Be


Which of them is most stable? Easy: entry iii.